# La5Te4Ir (PBE, relaxed)
# Density of states at the Fermi level: 6.9 states/eV per cell
# Space-group type: No. 139
# ΔE_f (raw): -1.40 eV/atom
# Volume: 32.80 Å³ per atom
# Mass density: 7.07 g/cm³
data_La5Te4Ir
_symmetry_space_group_name_H-M 'P 1'
_symmetry_Int_Tables_number 1
_cell_length_a 16.2811
_cell_length_b 16.2811
_cell_length_c 16.2811
_cell_angle_alpha 164.00
_cell_angle_beta 164.00
_cell_angle_gamma 22.71
loop_
_symmetry_equiv_pos_as_xyz
'x,y,z'
loop_
_atom_site_label
_atom_site_fract_x
_atom_site_fract_y
_atom_site_fract_z
_atom_site_occupancy
La1 0.0000 0.0000 0.0000 1
La2 0.2054 0.2054 0.0000 1
La3 0.4151 0.4151 0.0000 1
La4 0.5849 0.5849 0.0000 1
La5 0.7946 0.7946 0.0000 1
Te1 0.1021 0.1021 0.0000 1
Te2 0.3076 0.3076 0.0000 1
Te3 0.6924 0.6924 0.0000 1
Te4 0.8979 0.8979 0.0000 1
Ir1 0.5000 0.5000 0.0000 1